! CeBeIn | the Alexandria database | PBE | optimized geometry; values from VASP
&SYSTEM
  ibrav = 0, nat = 3, ntyp = 3
/
ATOMIC_SPECIES
Ce 140.12 Ce.upf
Be 9.01 Be.upf
In 114.82 In.upf
CELL_PARAMETERS angstrom
0.000 3.255 3.255
3.255 0.000 3.255
3.255 3.255 0.000
ATOMIC_POSITIONS angstrom
Ce 0.000 0.000 0.000
Be 4.882 4.882 4.882
In 3.255 3.255 3.255
! Electronic total energy, eV per atom: -4.208
! Distance to the lowest polymorph of the same formula, meV/atom: 0
! Formation energy from the elements, kJ/mol of formula units: -22
! Magnetic moment, μB per formula unit: 0.85
! Density of states at the Fermi level, states/eV per atom: 2.157